Computed, not measured: YZr2Se after structural relaxation at the GGA-PBE level of DFT.

Cell lengths 6.6844, 6.6844, 6.6844 Å; angles 151.28, 138.38, 51.35 degrees
Atoms (fractional coordinates):
Y (0.0000, 0.0000, 0.0000)
Zr (0.2975, 0.7975, 0.5000)
Zr (0.7025, 0.2025, 0.5000)
Se (0.5000, 0.5000, 0.0000)

Calculated values
Calculated density, Mg/m³: 6.1
Uncorrected energy, Ha/atom: -0.265
Uncorrected formation energy, eV/atom: -0.459

Computed, not measured: Er4Si2N after structural relaxation at the GGA-PBE level of DFT.

Cell lengths 7.3647, 7.3647, 5.6709 Å; angles 101.39, 101.39, 28.64 degrees
Atoms (fractional coordinates):
Er (0.0703, 0.0703, 0.2721)
Er (0.3597, 0.3597, 0.1608)
Er (0.6403, 0.6403, 0.8392)
Er (0.9297, 0.9297, 0.7279)
Si (0.2653, 0.2653, 0.6393)
Si (0.7347, 0.7347, 0.3607)
N (0.5000, 0.5000, 0.0000)

Calculated values
Calculated density, Mg/m³: 8.5
Uncorrected energy, Ha/atom: -0.229
Uncorrected formation energy, eV/atom: -0.891
Distance to the lowest polymorph of the same formula, eV/atom: 0.014

Computed, not measured: ErMgBi after structural relaxation at the GGA-PBE level of DFT.

Cell lengths 6.1883, 6.1883, 6.1883 Å; angles 143.83, 143.83, 52.09 degrees
Atoms (fractional coordinates):
Er (0.0000, 0.0000, 0.0000)
Mg (0.6777, 0.6777, 0.0000)
Bi (0.3226, 0.3226, 0.0000)

Calculated values
Calculated density, Mg/m³: 8.1
DFT formation energy, eV/atom: -0.23
Uncorrected energy, Ha/atom: -0.131
Distance to the lowest polymorph of the same formula, eV/atom: 0.031